1.
CuBIr at its PBEsol-relaxed geometry, computed with SCAN.

a b c (Å): 8.5991 9.8423 6.5226
angles (deg): 90.00 90.00 90.00
With the nearest neighbours (Å) after each atom.
Space group Fdd2 (No. 43)
Unique sites:
Cu1 0.0832 0.3850 0.0000 x16  3 B 2.16-2.34
B1 0.0574 0.2724 0.3060 x16  4 Ir 2.05-2.16, 2 Cu 2.16-2.29
Ir1 0.0205 0.3633 0.5848 x16  4 B 2.05-2.16

## Properties
Formation energy from the elements, kJ per mole of atoms: -22.5


2.
Li2BiIr at its PBEsol-relaxed geometry, computed with SCAN.

a b c (Å): 3.9246 3.9246 19.0706
angles (deg): 90.00 90.00 90.00
With the nearest neighbours (Å) after each atom.
Space group I-42d (No. 122)
Unique sites:
Li1 0.2152 0.2500 0.1250 x8  2 Li 2.59, 2 Ir 2.71, 2 Bi 2.81
Bi1 0.0000 0.0000 0.5000 x4  4 Ir 2.78, 4 Li 2.81
Ir1 0.0000 0.0000 0.0000 x4  4 Li 2.71, 4 Bi 2.78

## Properties
Formation energy from the elements, kJ per mole of atoms: 4.9


3.
LiZrF2 at its PBEsol-relaxed geometry, computed with SCAN.

a b c (Å): 5.8761 5.8761 5.8761
angles (deg): 90.00 90.00 90.00
With the nearest neighbours (Å) after each atom.
Space group Fm-3m (No. 225)
Unique sites:
Li1 0.0000 0.0000 0.0000 x4  8 F 2.54
Zr1 0.0000 0.0000 0.5000 x4  8 F 2.54
F1 0.2500 0.2500 0.2500 x8  4 Zr 2.54, 4 Li 2.54

## Properties
E_form (uncorrected), eV/atom: -1.63


4.
Zr3HF at its PBEsol-relaxed geometry, computed with SCAN.

a b c (Å): 4.3073 4.3073 4.3073
angles (deg): 90.00 90.00 90.00
With the nearest neighbours (Å) after each atom.
Space group Pm-3m (No. 221)
Unique sites:
Zr1 0.0000 0.0000 0.5000 x3  2 H 2.15
H1 0.0000 0.0000 0.0000 x1  6 Zr 2.15
F1 0.5000 0.5000 0.5000 x1  12 Zr 3.05

## Properties
Electronic total energy, eV/atom: -20.005


5.
RbCa3Cr at its PBEsol-relaxed geometry, computed with SCAN.

a b c (Å): 6.0672 6.0672 6.0672
angles (deg): 90.00 90.00 90.00
With the nearest neighbours (Å) after each atom.
Space group Pm-3m (No. 221)
Unique sites:
Rb1 0.0000 0.0000 0.0000 x1  12 Ca 4.29
Ca1 0.0000 0.5000 0.5000 x3  2 Cr 3.03
Cr1 0.5000 0.5000 0.5000 x1  6 Ca 3.03

## Properties
Formation energy from the elements, kJ per mole of atoms: 32.3


6.
Li4Mn at its PBEsol-relaxed geometry, computed with SCAN.

a b c (Å): 3.6301 3.6301 13.4657
angles (deg): 90.00 90.00 90.00
With the nearest neighbours (Å) after each atom.
Space group I4/mmm (No. 139)
Unique sites:
Li1 0.0000 0.0000 0.0928 x4  5 Li 2.50-2.79
Li2 0.0000 0.5000 0.2500 x4  8 Li 2.57-2.79
Mn1 0.0000 0.0000 0.5000 x2  8 Li 2.86

## Properties
Formation energy from the elements, kJ per mole of atoms: 25.1


Q: Number 2 is which compound?
A: Li2BiIr